The following is a DFT calculation (PBE with a Hubbard U) of crystalline Na3Cd3MoO8 at its relaxed geometry.

Fermi-level density of states: 12.966 states/eV per cell
Space-group type: R-3m, No. 166
Energy: -73.13 eV/cell

Cell and atoms, written as extended XYZ:
```
15
Lattice="6.7225 -0.0002 0.0001 -3.3614 5.8211 -0.0209 0.0001 -3.8622 5.5260" Properties=species:S:1:pos:R:3 pbc="T T T"
O -1.9760 4.6863 1.6018
O 3.3612 2.2871 1.6095
O 0.0001 -0.3284 3.8956
O 5.3373 -2.7276 3.9033
O 1.9758 4.6861 1.6019
O 1.3854 -2.7274 3.9033
O 3.3613 0.0131 3.8682
O 0.0000 1.9456 1.6369
Mo 0.0001 -1.9311 2.7630
Cd -1.6806 0.9794 2.7525
Cd 3.3613 -1.9312 2.7630
Cd 1.6806 0.9794 2.7526
Na -1.6807 2.9105 -0.0105
Na 0.0000 0.0000 0.0000
Na 1.6806 2.9105 -0.0104
```